VASP calculation (PBE-GGA) on an optimized crystal structure of Y4Nb2Si3N3.

The structure in POSCAR format:
```
Y4Nb2Si3N3
1.0
5.053 -2.933 0.000
5.053 2.933 0.000
-3.361 0.000 13.524
Y Nb Si N
8 4 6 6
direct
0.037 0.198 0.104
0.128 0.299 0.396
0.198 0.037 0.604
0.299 0.128 0.896
0.701 0.872 0.104
0.802 0.963 0.396
0.872 0.701 0.604
0.963 0.802 0.896
0.356 0.526 0.080
0.474 0.644 0.420
0.526 0.356 0.580
0.644 0.474 0.920
0.172 0.828 0.250
0.338 0.416 0.751
0.416 0.338 0.251
0.584 0.662 0.749
0.662 0.584 0.249
0.828 0.172 0.750
0.000 0.500 0.000
0.175 0.663 0.500
0.337 0.825 0.000
0.500 0.000 0.500
0.663 0.175 0.000
0.825 0.337 0.500
```

- Symmetry: C2/c
- Uncorrected energy: -8.303 eV per atom

***

VASP calculation (PBE-GGA) on an optimized crystal structure of Nb4ZnSiN2.

The structure in POSCAR format:
```
Nb4ZnSiN2
1.0
3.179 0.000 0.000
-1.589 2.753 0.000
0.000 0.000 12.920
Nb Zn Si N
4 1 1 2
direct
0.000 0.000 0.148
0.000 0.000 0.852
0.667 0.333 0.332
0.667 0.333 0.668
0.000 0.000 0.500
0.667 0.333 0.000
0.333 0.667 0.244
0.333 0.667 0.756
```

- Symmetry: P-6m2
- Uncorrected energy: -8.565 eV per atom

***

VASP calculation (PBE-GGA) on an optimized crystal structure of Zr4Nb2Si3N3.

The structure in POSCAR format:
```
Zr4Nb2Si3N3
1.0
4.854 -2.803 0.000
4.854 2.803 0.000
-3.273 0.000 13.109
Zr Nb Si N
8 4 6 6
direct
0.033 0.201 0.101
0.133 0.300 0.399
0.201 0.033 0.601
0.300 0.133 0.899
0.700 0.867 0.101
0.799 0.967 0.399
0.867 0.700 0.601
0.967 0.799 0.899
0.363 0.528 0.085
0.472 0.637 0.415
0.528 0.363 0.585
0.637 0.472 0.915
0.136 0.864 0.250
0.305 0.416 0.749
0.416 0.305 0.249
0.584 0.695 0.751
0.695 0.584 0.251
0.864 0.136 0.750
0.000 0.500 0.000
0.153 0.674 0.500
0.326 0.847 0.000
0.500 0.000 0.500
0.674 0.153 0.000
0.847 0.326 0.500
```

- Symmetry: C2/c
- Uncorrected energy: -8.972 eV per atom

***

VASP calculation (PBE-GGA) on an optimized crystal structure of TbSm2Nb2N6.

The structure in POSCAR format:
```
TbSm2Nb2N6
1.0
-2.008 2.008 9.635
2.008 -2.008 9.635
2.008 2.008 -9.635
Tb Sm Nb N
1 2 2 6
direct
0.000 0.000 0.000
0.179 0.179 0.000
0.821 0.821 0.000
0.401 0.401 0.000
0.599 0.599 0.000
0.080 0.580 0.500
0.299 0.299 0.000
0.420 0.920 0.500
0.580 0.080 0.500
0.701 0.701 0.000
0.920 0.420 0.500
```

- Symmetry: I4/mmm
- Uncorrected energy: -8.897 eV per atom

***

VASP calculation (PBE-GGA) on an optimized crystal structure of Sm3Nb3W2N12.

The structure in POSCAR format:
```
Sm3Nb3W2N12
1.0
-6.469 6.469 6.469
6.469 -6.469 6.469
6.469 6.469 -6.469
Sm Nb W N
12 12 8 48
direct
0.125 0.250 0.375
0.125 0.375 0.750
0.250 0.375 0.125
0.250 0.875 0.625
0.375 0.125 0.250
0.375 0.750 0.125
0.625 0.250 0.875
0.625 0.875 0.750
0.750 0.125 0.375
0.750 0.625 0.875
0.875 0.625 0.250
0.875 0.750 0.625
0.125 0.750 0.875
0.125 0.875 0.250
0.250 0.125 0.875
0.250 0.625 0.375
0.375 0.250 0.625
0.375 0.625 0.750
0.625 0.375 0.250
0.625 0.750 0.375
0.750 0.375 0.625
0.750 0.875 0.125
0.875 0.125 0.750
0.875 0.250 0.125
0.000 0.000 0.000
0.000 0.000 0.500
0.000 0.500 0.000
0.000 0.500 0.500
0.500 0.000 0.000
0.500 0.000 0.500
0.500 0.500 0.000
0.500 0.500 0.500
0.021 0.197 0.116
0.021 0.325 0.906
0.081 0.697 0.675
0.081 0.884 0.406
0.094 0.616 0.419
0.094 0.979 0.675
0.116 0.021 0.197
0.116 0.594 0.919
0.175 0.197 0.581
0.175 0.479 0.594
0.197 0.116 0.021
0.197 0.581 0.175
0.303 0.325 0.919
0.303 0.479 0.384
0.325 0.906 0.021
0.325 0.919 0.303
0.384 0.303 0.479
0.384 0.581 0.906
0.406 0.081 0.884
0.406 0.825 0.521
0.419 0.094 0.616
0.419 0.825 0.803
0.479 0.384 0.303
0.479 0.594 0.175
0.521 0.406 0.825
0.521 0.616 0.697
0.581 0.175 0.197
0.581 0.906 0.384
0.594 0.175 0.479
0.594 0.919 0.116
0.616 0.419 0.094
0.616 0.697 0.521
0.675 0.081 0.697
0.675 0.094 0.979
0.697 0.521 0.616
0.697 0.675 0.081
0.803 0.419 0.825
0.803 0.884 0.979
0.825 0.521 0.406
0.825 0.803 0.419
0.884 0.406 0.081
0.884 0.979 0.803
0.906 0.021 0.325
0.906 0.384 0.581
0.919 0.116 0.594
0.919 0.303 0.325
0.979 0.675 0.094
0.979 0.803 0.884
```

- Symmetry: Ia-3d
- Uncorrected energy: -9.407 eV per atom

***

VASP calculation (PBE-GGA) on an optimized crystal structure of Nb3SnN2.

The structure in POSCAR format:
```
Nb3SnN2
1.0
3.187 0.000 0.000
-1.593 2.760 0.000
0.000 0.000 19.211
Nb Sn N
6 2 4
direct
0.000 0.000 0.000
0.000 0.000 0.500
0.333 0.667 0.127
0.333 0.667 0.373
0.667 0.333 0.627
0.667 0.333 0.873
0.000 0.000 0.250
0.000 0.000 0.750
0.333 0.667 0.566
0.333 0.667 0.934
0.667 0.333 0.066
0.667 0.333 0.434
```

- Symmetry: P6_3/mmc
- Uncorrected energy: -9.112 eV per atom

***

VASP calculation (PBE-GGA) on an optimized crystal structure of Ta2Nb4Sn3N3.

The structure in POSCAR format:
```
Ta2Nb4Sn3N3
1.0
4.916 -2.837 0.000
4.916 2.837 0.000
-3.271 0.000 13.612
Ta Nb Sn N
4 8 6 6
direct
0.026 0.851 0.579
0.149 0.974 0.921
0.851 0.026 0.079
0.974 0.149 0.421
0.194 0.370 0.082
0.315 0.464 0.418
0.370 0.194 0.582
0.464 0.315 0.918
0.536 0.685 0.082
0.630 0.806 0.418
0.685 0.536 0.582
0.806 0.630 0.918
0.083 0.247 0.749
0.247 0.083 0.249
0.415 0.585 0.750
0.585 0.415 0.250
0.753 0.917 0.751
0.917 0.753 0.251
0.000 0.500 0.500
0.159 0.682 0.000
0.318 0.841 0.500
0.500 0.000 0.000
0.682 0.159 0.500
0.841 0.318 0.000
```

- Symmetry: C2/c
- Uncorrected energy: -8.922 eV per atom

***

VASP calculation (PBE-GGA) on an optimized crystal structure of Nb4TlSnN2.

The structure in POSCAR format:
```
Nb4TlSnN2
1.0
3.271 0.000 0.000
-1.636 2.833 0.000
0.000 0.000 13.853
Nb Tl Sn N
4 1 1 2
direct
0.000 0.000 0.167
0.000 0.000 0.833
0.667 0.333 0.326
0.667 0.333 0.674
0.000 0.000 0.500
0.667 0.333 0.000
0.333 0.667 0.247
0.333 0.667 0.753
```

- Symmetry: P-6m2
- Uncorrected energy: -8.398 eV per atom

***

VASP calculation (PBE-GGA) on an optimized crystal structure of Y2Nb4Sn3N3.

The structure in POSCAR format:
```
Y2Nb4Sn3N3
1.0
5.077 -2.960 0.000
5.077 2.960 0.000
-3.378 0.000 13.800
Y Nb Sn N
4 8 6 6
direct
0.034 0.871 0.601
0.129 0.966 0.899
0.871 0.034 0.101
0.966 0.129 0.399
0.194 0.361 0.072
0.313 0.468 0.428
0.361 0.194 0.572
0.468 0.313 0.928
0.532 0.687 0.072
0.639 0.806 0.428
0.687 0.532 0.572
0.806 0.639 0.928
0.081 0.320 0.750
0.320 0.081 0.250
0.485 0.515 0.750
0.515 0.485 0.250
0.680 0.919 0.750
0.919 0.680 0.250
0.000 0.500 0.500
0.162 0.678 0.000
0.322 0.838 0.500
0.500 0.000 0.000
0.678 0.162 0.500
0.838 0.322 0.000
```

- Symmetry: C2/c
- Uncorrected energy: -8.306 eV per atom

***

VASP calculation (PBE-GGA) on an optimized crystal structure of Nb4ZnSnN2.

The structure in POSCAR format:
```
Nb4ZnSnN2
1.0
3.205 0.000 0.000
-1.602 2.775 0.000
0.000 0.000 13.601
Nb Zn Sn N
4 1 1 2
direct
0.000 0.000 0.158
0.000 0.000 0.842
0.667 0.333 0.328
0.667 0.333 0.672
0.667 0.333 0.000
0.000 0.000 0.500
0.333 0.667 0.242
0.333 0.667 0.758
```

- Symmetry: P-6m2
- Uncorrected energy: -8.310 eV per atom

***

VASP calculation (PBE-GGA) on an optimized crystal structure of ZrNbSnN.

The structure in POSCAR format:
```
ZrNbSnN
1.0
3.307 0.000 0.000
-1.654 2.864 0.000
0.000 0.000 14.108
Zr Nb Sn N
2 2 2 2
direct
0.333 0.667 0.089
0.667 0.333 0.911
0.333 0.667 0.423
0.667 0.333 0.577
0.333 0.667 0.740
0.667 0.333 0.260
0.000 0.000 0.000
0.000 0.000 0.500
```

- Symmetry: P-3m1
- Uncorrected energy: -8.572 eV per atom

***

VASP calculation (PBE-GGA) on an optimized crystal structure of Zr4Nb2Sn3N3.

The structure in POSCAR format:
```
Zr4Nb2Sn3N3
1.0
4.988 -2.879 0.000
4.988 2.879 0.000
-3.326 0.000 14.135
Zr Nb Sn N
8 4 6 6
direct
0.024 0.200 0.086
0.142 0.304 0.414
0.200 0.024 0.586
0.304 0.142 0.914
0.696 0.858 0.086
0.800 0.976 0.414
0.858 0.696 0.586
0.976 0.800 0.914
0.365 0.526 0.079
0.474 0.635 0.421
0.526 0.365 0.579
0.635 0.474 0.921
0.099 0.901 0.250
0.268 0.416 0.749
0.416 0.268 0.249
0.584 0.732 0.751
0.732 0.584 0.251
0.901 0.099 0.750
0.000 0.500 0.000
0.158 0.671 0.500
0.329 0.842 0.000
0.500 0.000 0.500
0.671 0.158 0.000
0.842 0.329 0.500
```

- Symmetry: C2/c
- Uncorrected energy: -8.532 eV per atom

***

VASP calculation (PBE-GGA) on an optimized crystal structure of Ta4Nb2Tl3N3.

The structure in POSCAR format:
```
Ta4Nb2Tl3N3
1.0
4.875 -2.814 0.000
4.875 2.814 0.000
-3.239 0.000 14.044
Ta Nb Tl N
8 4 6 6
direct
0.014 0.204 0.078
0.153 0.307 0.422
0.204 0.014 0.578
0.307 0.153 0.922
0.693 0.847 0.078
0.796 0.986 0.422
0.847 0.693 0.578
0.986 0.796 0.922
0.371 0.527 0.080
0.473 0.629 0.420
0.527 0.371 0.580
0.629 0.473 0.920
0.082 0.918 0.250
0.249 0.415 0.747
0.415 0.249 0.247
0.585 0.751 0.753
0.751 0.585 0.253
0.918 0.082 0.750
0.000 0.500 0.000
0.147 0.675 0.500
0.325 0.853 0.000
0.500 0.000 0.500
0.675 0.147 0.000
0.853 0.325 0.500
```

- Symmetry: C2/c
- Uncorrected energy: -8.619 eV per atom

***

VASP calculation (PBE-GGA) on an optimized crystal structure of Ta4Nb2Zn3N3.

The structure in POSCAR format:
```
Ta4Nb2Zn3N3
1.0
4.587 -2.635 0.000
4.587 2.635 0.000
-3.168 0.000 13.864
Ta Nb Zn N
8 4 6 6
direct
0.021 0.198 0.083
0.139 0.310 0.417
0.198 0.021 0.583
0.310 0.139 0.917
0.690 0.861 0.083
0.802 0.979 0.417
0.861 0.690 0.583
0.979 0.802 0.917
0.371 0.540 0.114
0.460 0.629 0.386
0.540 0.371 0.614
0.629 0.460 0.886
0.067 0.933 0.750
0.107 0.413 0.750
0.413 0.107 0.250
0.587 0.893 0.750
0.893 0.587 0.250
0.933 0.067 0.250
0.000 0.500 0.000
0.194 0.653 0.500
0.347 0.806 0.000
0.500 0.000 0.500
0.653 0.194 0.000
0.806 0.347 0.500
```

- Symmetry: C2/c
- Uncorrected energy: -8.534 eV per atom